Below is an optimized crystal structure of Pr2DyGa2Cu2, with properties calculated at the PBE-GGA level.

a = 9.8497 Å, b = 9.8497 Å, c = 9.8497 Å
α = 25.87°, β = 25.87°, γ = 25.87°
Atoms (fractional coordinates):
Pr 0.1226 0.1226 0.1226
Pr 0.8774 0.8774 0.8774
Dy 0.0000 0.0000 0.0000
Ga 0.2711 0.2711 0.2711
Ga 0.7289 0.7289 0.7289
Cu 0.3896 0.3896 0.3896
Cu 0.6104 0.6104 0.6104

## Properties
Its space group is R-3m (166). The final energy comes out at -4.45 eV/atom.

Below is an optimized crystal structure of TiSnOs3, with properties calculated at the PBE-GGA level.

a = 4.7526 Å, b = 4.7526 Å, c = 4.7526 Å
α = 90.00°, β = 90.00°, γ = 90.00°
Atoms (fractional coordinates):
Ti 0.0000 0.0000 0.0000
Sn 0.5000 0.5000 0.5000
Os 0.0000 0.5000 0.5000
Os 0.5000 0.0000 0.5000
Os 0.5000 0.5000 0.0000

## Properties
Its space group is Pm-3m (221). The value obtained for the energy above the most stable polymorph in this dataset is 666.5 meV/atom.